SrMoPbO6: optimized geometry, GGA+U.

Summary:
Symmetry: P-31c, No. 163
Theoretical density (Mg/m³): 5.7
Spin magnetization (μB per atom): 0.00
E_tot (eV/atom): -6.36

Lattice parameters (Å, degrees): 5.5638 5.5638 10.5786 90.00 90.00 120.00
Closest atoms and distances in Å follow each position.
Positions (direct):
Sr  0.0000  0.0000  0.0000  6 O 2.60
Sr  0.0000  0.0000  0.5000  6 O 2.60
Mo  0.3333  0.6667  0.2500  6 O 1.96
Mo  0.6667  0.3333  0.7500  6 O 1.96
Pb  0.3333  0.6667  0.7500  6 O 2.20
Pb  0.6667  0.3333  0.2500  6 O 2.20
O  0.0325  0.3939  0.1434  1 Mo 1.96
O  0.0325  0.6387  0.3566  1 Mo 1.96
O  0.3613  0.3939  0.3566  1 Mo 1.96
O  0.3613  0.9675  0.1434  1 Mo 1.96
O  0.3939  0.0325  0.6434  1 Mo 1.96
O  0.3939  0.3613  0.8566  1 Mo 1.96
O  0.6061  0.6387  0.1434  1 Mo 1.96
O  0.6061  0.9675  0.3566  1 Mo 1.96
O  0.6387  0.0325  0.8566  1 Mo 1.96
O  0.6387  0.6061  0.6434  1 Mo 1.96
O  0.9675  0.3613  0.6434  1 Mo 1.96
O  0.9675  0.6061  0.8566  1 Mo 1.96